# 1
Computed, not measured: a relaxed DyBO3 crystal at the PBE level of DFT.

CIF file:
```
data_DyBO3
_cell_length_a 6.188
_cell_length_b 6.392
_cell_length_c 6.410
_cell_angle_alpha 92.57
_cell_angle_beta 107.14
_cell_angle_gamma 107.12
_symmetry_space_group_name_H-M 'P -1'
_symmetry_Int_Tables_number 2
loop_
_symmetry_equiv_pos_as_xyz
'x,y,z'
'-x,-y,-z'
loop_
_atom_site_label
_atom_site_fract_x
_atom_site_fract_y
_atom_site_fract_z
Dy1 0.045 0.268 0.333
Dy2 0.444 0.819 0.224
B1 0.019 0.238 0.782
B2 0.478 0.278 0.264
O1 0.046 0.777 0.032
O2 0.089 0.644 0.373
O3 0.154 0.125 0.718
O4 0.369 0.129 0.386
O5 0.386 0.795 0.842
O6 0.425 0.470 0.250
```

- Formation energy without anion corrections: -15.5 eV/f.u.



# 2
Computed, not measured: a relaxed Dy6BO12 crystal at the PBE level of DFT.

CIF file:
```
data_Dy6BO12
_cell_length_a 9.7195
_cell_length_b 9.7195
_cell_length_c 9.1590
_cell_angle_alpha 90.00
_cell_angle_beta 90.00
_cell_angle_gamma 120.00
_symmetry_space_group_name_H-M 'R -3'
_symmetry_Int_Tables_number 148
_symmetry_space_group_name_Hall '-R 3'
loop_
_atom_site_label
_atom_site_fract_x
_atom_site_fract_y
_atom_site_fract_z
Dy1 0.0466 0.2547 0.1495
B1 0.0000 0.0000 0.5000
O1 0.0354 0.2271 0.9037
O2 0.0365 0.1665 0.4002
```

- Formation energy without anion corrections: -53.0 eV/f.u.



# 3
Computed, not measured: a relaxed Dy2BO4 crystal at the PBE level of DFT.

CIF file:
```
data_Dy2BO4
_cell_length_a 3.805
_cell_length_b 3.805
_cell_length_c 14.197
_cell_angle_alpha 90.00
_cell_angle_beta 90.00
_cell_angle_gamma 90.00
_symmetry_space_group_name_H-M 'I 4/m m m'
_symmetry_Int_Tables_number 139
_symmetry_space_group_name_Hall '-I 4 2'
loop_
_atom_site_label
_atom_site_fract_x
_atom_site_fract_y
_atom_site_fract_z
Dy1 0.000 0.000 0.169
B1 0.000 0.000 0.500
O1 0.000 0.000 0.409
O2 0.000 0.500 0.250
```

- Formation energy without anion corrections: -19.7 eV/f.u.